1.
Pr5ScTl6 after structural relaxation, computed with GGA-PBE.

Results
E_form: -362 meV per atom
magnetization: 0.00 μB per atom

a = 5.5107 Å, b = 7.7166 Å, c = 9.5339 Å
α = 66.13°, β = 72.79°, γ = 90.00°
Last column: nearest neighbours and their distance in Å.
Sites, in units of the cell vectors:
Pr 0.0000 0.5000 0.0000  8 Tl 3.32-3.47
Pr 0.6640 0.6632 0.6735  8 Tl 3.42-3.46, 1 Pr 3.81
Pr 0.3243 0.8246 0.3508  8 Tl 3.31-3.41
Pr 0.6757 0.1754 0.6492  8 Tl 3.31-3.41
Pr 0.3360 0.3368 0.3265  8 Tl 3.42-3.46, 1 Pr 3.81
Tl 0.1592 0.3956 0.6820  1 Sc 3.20, 7 Pr 3.31-3.46
Tl 0.8408 0.0776 0.3180  1 Sc 3.20, 7 Pr 3.31-3.46
Tl 0.1592 0.9224 0.6820  1 Sc 3.20, 7 Pr 3.31-3.46
Tl 0.5000 0.2265 0.0000  2 Sc 3.26, 6 Pr 3.38-3.47, 1 Tl 3.50
Tl 0.8408 0.6044 0.3180  1 Sc 3.20, 7 Pr 3.31-3.46
Tl 0.5000 0.7735 0.0000  2 Sc 3.26, 6 Pr 3.38-3.47, 1 Tl 3.50
Sc 0.0000 0.0000 0.0000  8 Tl 3.20-3.26

---

2.
In2IrSe after structural relaxation, computed with GGA-PBE.

Results
formation energy without anion corrections: -0.059 eV per atom
magnetization: 0.00 μB per atom

a = 5.3526 Å, b = 5.3526 Å, c = 6.2395 Å
α = 67.07°, β = 67.07°, γ = 33.02°
Last column: nearest neighbours and their distance in Å.
Sites, in units of the cell vectors:
Ir 0.5500 0.5500 0.6102  2 Se 2.53, 5 In 2.76-2.82
Se 0.1600 0.1600 0.2585  2 Ir 2.53
In 0.9719 0.9719 0.0196  2 Ir 2.80, 1 Se 2.88, 2 In 3.04
In 0.8181 0.8181 0.6116  3 Ir 2.76-2.82, 2 In 3.04

---

3.
MnAuSe2 after structural relaxation, computed with GGA-PBE.

Results
formation energy without anion corrections: -0.165 eV per atom
magnetization: 1.00 μB per atom

a = 6.5129 Å, b = 7.0446 Å, c = 7.0446 Å
α = 108.34°, β = 129.19°, γ = 50.81°
Last column: nearest neighbours and their distance in Å.
Sites, in units of the cell vectors:
Se 0.6806 0.9395 0.8076  1 Au 2.47, 2 Mn 2.48-2.54
Se 0.3194 0.0605 0.1924  1 Au 2.47, 2 Mn 2.48-2.54
Se 0.8194 0.3076 0.4395  1 Au 2.47, 2 Mn 2.48-2.54
Se 0.1805 0.6924 0.5605  1 Au 2.47, 2 Mn 2.48-2.54
Mn 0.2500 0.9020 0.4020  4 Se 2.48-2.54, 1 Au 2.71
Mn 0.7500 0.0980 0.5980  4 Se 2.48-2.54, 1 Au 2.71
Au 0.7500 0.4265 0.9265  2 Se 2.47, 1 Mn 2.71
Au 0.2500 0.5735 0.0735  2 Se 2.47, 1 Mn 2.71